Entry 1:
Material: Pm2GaSn2Rh5
Method: DFT, GGA-PBE
State: relaxed

Unit cell a=10.7603 b=10.7603 c=3.2791 alpha=90.00 beta=90.00 gamma=90.00
With the nearest neighbours (Å) after each atom.
Space group P4/mbm (No. 127)
Symmetry-distinct sites (fractional):
Pm1 0.1663 0.3337 0.0000 (multiplicity 4)  3 Sn 2.99-3.28, 6 Rh 3.01-3.13, 2 Pm 3.28
Ga1 0.0000 0.0000 0.0000 (multiplicity 2)  8 Rh 2.67
Sn1 0.1373 0.6373 0.0000 (multiplicity 4)  6 Rh 2.66-2.69
Rh1 0.0000 0.5000 0.5000 (multiplicity 2)  4 Sn 2.66
Rh2 0.0373 0.8079 0.5000 (multiplicity 8)  2 Ga 2.67, 2 Sn 2.69, 2 Rh 2.98

- Energy of formation: -0.5416 eV/atom
- VASP energy: -6.27 eV/atom

=====

Entry 2:
Material: SrPmGaRh
Method: DFT, GGA-PBE
State: relaxed

Unit cell a=7.3068 b=7.3068 c=7.3068 alpha=90.00 beta=90.00 gamma=90.00
With the nearest neighbours (Å) after each atom.
Space group F-43m (No. 216)
Symmetry-distinct sites (fractional):
Sr1 0.0000 0.0000 0.0000 (multiplicity 4)  4 Rh 3.16, 4 Ga 3.16
Pm1 0.0000 0.0000 0.5000 (multiplicity 4)  4 Rh 3.16, 4 Ga 3.16
Ga1 0.2500 0.2500 0.7500 (multiplicity 4)  4 Pm 3.16, 4 Sr 3.16
Rh1 0.2500 0.2500 0.2500 (multiplicity 4)  4 Pm 3.16, 4 Sr 3.16

- Energy of formation: -0.3618 eV/atom
- VASP energy: -4.56 eV/atom

=====

Entry 3:
Material: TbPm2Ga3Rh4
Method: DFT, GGA-PBE
State: relaxed

Unit cell a=4.2793 b=4.2793 c=10.9326 alpha=90.00 beta=90.00 gamma=90.00
With the nearest neighbours (Å) after each atom.
Space group P-4m2 (No. 115)
Symmetry-distinct sites (fractional):
Tb1 0.0000 0.0000 0.0000 (multiplicity 1)  4 Rh 2.72, 4 Ga 3.03
Pm1 0.0000 0.5000 0.7201 (multiplicity 2)  8 Rh 3.22-3.32, 4 Ga 3.23
Ga1 0.0000 0.5000 0.3830 (multiplicity 2)  5 Rh 2.49-2.50
Ga2 0.5000 0.5000 0.0000 (multiplicity 1)  4 Rh 2.72, 4 Tb 3.03
Rh1 0.0000 0.0000 0.5000 (multiplicity 1)  4 Ga 2.49
Rh2 0.0000 0.5000 0.1541 (multiplicity 2)  3 Ga 2.50-2.72, 2 Tb 2.72
Rh3 0.5000 0.5000 0.5000 (multiplicity 1)  4 Ga 2.49

- Energy of formation: -0.7797 eV/atom
- VASP energy: -6.04 eV/atom

=====

Entry 4:
Material: Pm3Tl2GaRh3
Method: DFT, GGA-PBE
State: relaxed

Unit cell a=7.6862 b=7.6862 c=3.9149 alpha=90.00 beta=90.00 gamma=120.00
With the nearest neighbours (Å) after each atom.
Space group P-62m (No. 189)
Symmetry-distinct sites (fractional):
Pm1 0.0000 0.6250 0.0000 (multiplicity 3)  1 Ga 2.88, 4 Tl 3.11, 4 Rh 3.18
Tl1 0.3333 0.6667 0.5000 (multiplicity 2)  3 Rh 3.07, 6 Pm 3.11
Ga1 0.0000 0.0000 0.0000 (multiplicity 1)  6 Rh 2.60, 3 Pm 2.88
Rh1 0.0000 0.2236 0.5000 (multiplicity 3)  2 Ga 2.60

- Energy of formation: -0.5015 eV/atom
- VASP energy: -5.40 eV/atom

=====

Entry 5:
Material: PmTmGaRh
Method: DFT, GGA-PBE
State: relaxed

Unit cell a=3.9253 b=4.2769 c=10.9900 alpha=90.00 beta=90.00 gamma=90.00
With the nearest neighbours (Å) after each atom.
Space group Amm2 (No. 38)
Symmetry-distinct sites (fractional):
Pm1 0.0000 0.0000 0.0000 (multiplicity 2)  1 Rh 2.87, 4 Ga 3.05
Tm1 0.5000 0.0000 0.2856 (multiplicity 2)  4 Rh 2.95, 3 Ga 3.07-3.30
Ga1 0.5000 0.0000 0.5858 (multiplicity 2)  2 Rh 2.59
Rh1 0.0000 0.0000 0.7391 (multiplicity 2)  2 Ga 2.59, 1 Pm 2.87

- Energy of formation: -0.7108 eV/atom
- VASP energy: -5.61 eV/atom
- Excess energy over the best structure of this formula in the dataset: 0.0000 eV per atom

=====

Entry 6:
Material: PmTmGaRh
Method: DFT, GGA-PBE
State: relaxed

Unit cell a=7.0684 b=7.0684 c=7.0684 alpha=90.00 beta=90.00 gamma=90.00
With the nearest neighbours (Å) after each atom.
Space group F-43m (No. 216)
Symmetry-distinct sites (fractional):
Pm1 0.0000 0.0000 0.0000 (multiplicity 4)  4 Rh 3.06, 4 Ga 3.06
Tm1 0.0000 0.0000 0.5000 (multiplicity 4)  4 Ga 3.06, 4 Rh 3.06
Ga1 0.2500 0.2500 0.7500 (multiplicity 4)  4 Pm 3.06, 4 Tm 3.06
Rh1 0.2500 0.2500 0.2500 (multiplicity 4)  4 Pm 3.06, 4 Tm 3.06

- Energy of formation: -0.6348 eV/atom
- VASP energy: -5.53 eV/atom
- Excess energy over the best structure of this formula in the dataset: 0.0760 eV per atom